Entry from the Alexandria database: a relaxed structure of CrRe2Br (GGA-PBE).

CIF file:
```
data_CrRe2Br
_cell_length_a 2.8773
_cell_length_b 2.8773
_cell_length_c 25.5612
_cell_angle_alpha 90.00
_cell_angle_beta 90.00
_cell_angle_gamma 120.00
_space_group_name_H-M_alt 'R -3 m'
_space_group_IT_number 166
_space_group_name_Hall '-R 3 2"'
loop_
_atom_site_label
_atom_site_fract_x
_atom_site_fract_y
_atom_site_fract_z
Cr1 0.0000 0.0000 0.0000
Re1 0.0000 0.0000 0.2559
Br1 0.0000 0.0000 0.5000
```

Summary:
The uncorrected formation energy is 2.86 eV per formula unit. The electronic total energy is -8.334 eV per atom. Its distance to the lowest polymorph of the same formula is 0.1444 eV/atom. For the density of states at the Fermi level, the calculation gives 7.13 states/eV/cell. As for the total magnetic moment: 0.0 μB/f.u.

Entry from the Alexandria database: a relaxed structure of CrReBr2 (GGA-PBE).

CIF file:
```
data_CrReBr2
_cell_length_a 3.851
_cell_length_b 3.851
_cell_length_c 11.196
_cell_angle_alpha 90.00
_cell_angle_beta 90.00
_cell_angle_gamma 90.00
_space_group_name_H-M_alt 'I -4 m 2'
_space_group_IT_number 119
_space_group_name_Hall 'I -4 -2'
loop_
_atom_site_label
_atom_site_fract_x
_atom_site_fract_y
_atom_site_fract_z
Cr1 0.000 0.000 0.000
Re1 0.000 0.500 0.750
Br1 0.000 0.000 0.500
Br2 0.000 0.500 0.250
```

Summary:
The uncorrected formation energy is 4.69 eV per formula unit. The electronic total energy is -5.181 eV per atom. Its distance to the lowest polymorph of the same formula is 0.9821 eV/atom. For the density of states at the Fermi level, the calculation gives 4.74 states/eV/cell. As for the total magnetic moment: 1.2 μB/f.u.

Entry from the Alexandria database: a relaxed structure of CrReBr2 (GGA-PBE).

CIF file:
```
data_CrReBr2
_cell_length_a 6.212
_cell_length_b 8.765
_cell_length_c 3.320
_cell_angle_alpha 90.00
_cell_angle_beta 117.50
_cell_angle_gamma 90.00
_space_group_name_H-M_alt 'C 1 2/m 1'
_space_group_IT_number 12
loop_
_space_group_symop_operation_xyz
'x,y,z'
'-x,-y,-z'
'-x,y,-z'
'x,-y,z'
'x+1/2,y+1/2,z'
'-x+1/2,-y+1/2,-z'
'-x+1/2,y+1/2,-z'
'x+1/2,-y+1/2,z'
loop_
_atom_site_label
_atom_site_fract_x
_atom_site_fract_y
_atom_site_fract_z
Cr1 0.000 0.000 0.000
Re1 0.000 0.500 0.000
Br1 0.250 0.250 0.000
```

Summary:
The uncorrected formation energy is 4.11 eV per formula unit. The electronic total energy is -5.327 eV per atom. Its distance to the lowest polymorph of the same formula is 0.8365 eV/atom. For the density of states at the Fermi level, the calculation gives 4.48 states/eV/cell. As for the total magnetic moment: 1.8 μB/f.u.